Entry from Alexandria: a geometry-optimized YEr2IO8 structure (PBE).

Cell: 7.019 7.103 6.807 Å, 90.00 90.00 90.00°
Space group Cmmm (No. 65)
Symmetry-distinct sites (fractional):
Y (0.000, 0.000, 0.000)
Er (0.000, 0.500, 0.248)
I (0.000, 0.000, 0.500)
O (0.000, 0.182, 0.292)
O (0.190, 0.500, 0.000)
O (0.229, 0.500, 0.500)

* uncorrected energy: -7.098 eV/atom
* formation energy (no corrections): -2.364 eV per atom
* D(E_F): 0.0 states/eV per cell



Entry from Alexandria: a geometry-optimized YErIO6 structure (PBE).

Cell: 5.5793 5.5793 9.5734 Å, 90.00 90.00 120.00°
Space group P-31c (No. 163)
Symmetry-distinct sites (fractional):
Y (0.0000, 0.0000, 0.0000)
Er (0.3333, 0.6667, 0.2500)
I (0.3333, 0.6667, 0.7500)
O (0.0318, 0.3629, 0.6344)

* uncorrected energy: -6.755 eV/atom
* formation energy (no corrections): -2.052 eV per atom
* D(E_F): 9.2 states/eV per cell



Entry from Alexandria: a geometry-optimized Er2OsI structure (PBE).

Cell: 4.0627 4.0627 23.4943 Å, 90.00 90.00 120.00°
Space group R-3m (No. 166, hexagonal axes)
Symmetry-distinct sites (fractional):
Er (0.0000, 0.0000, 0.2271)
Os (0.0000, 0.0000, 0.5000)
I (0.0000, 0.0000, 0.0000)

* uncorrected energy: -5.942 eV/atom
* formation energy (no corrections): -0.465 eV per atom
* D(E_F): 8.1 states/eV per cell



Entry from Alexandria: a geometry-optimized Er4OsI5 structure (PBE).

Cell: 19.445 4.116 8.940 Å, 90.00 102.77 90.00°
Space group C2/m (No. 12)
Symmetry-distinct sites (fractional):
Er (0.000, 0.000, 0.203)
Er (0.139, 0.500, 0.071)
Os (0.000, 0.500, 0.000)
I (0.000, 0.500, 0.500)
I (0.168, 0.000, 0.338)
I (0.176, 0.000, 0.835)

* uncorrected energy: -4.724 eV/atom
* formation energy (no corrections): -1.001 eV per atom
* D(E_F): 12.6 states/eV per cell



Entry from Alexandria: a geometry-optimized Er2OsI structure (PBE).

Cell: 3.451 3.451 8.378 Å, 90.00 90.00 90.00°
Space group P4/mmm (No. 123)
Symmetry-distinct sites (fractional):
Er (0.000, 0.000, 0.196)
Os (0.500, 0.500, 0.000)
I (0.500, 0.500, 0.500)

* uncorrected energy: -5.954 eV/atom
* formation energy (no corrections): -0.478 eV per atom
* D(E_F): 0.9 states/eV per cell



Entry from Alexandria: a geometry-optimized ErOsI structure (PBE).

Cell: 4.2105 4.2105 36.0618 Å, 90.00 90.00 120.00°
Space group R-3m (No. 166, hexagonal axes)
Symmetry-distinct sites (fractional):
Er (0.0000, 0.0000, 0.0538)
Os (0.0000, 0.0000, 0.3362)
I (0.0000, 0.0000, 0.2224)

* uncorrected energy: -6.552 eV/atom
* formation energy (no corrections): -0.771 eV per atom
* D(E_F): 9.7 states/eV per cell



What did the third record say?
Entry from Alexandria: a geometry-optimized Er2OsI structure (PBE).

Cell: 4.0627 4.0627 23.4943 Å, 90.00 90.00 120.00°
Space group R-3m (No. 166, hexagonal axes)
Symmetry-distinct sites (fractional):
Er (0.0000, 0.0000, 0.2271)
Os (0.0000, 0.0000, 0.5000)
I (0.0000, 0.0000, 0.0000)

* uncorrected energy: -5.942 eV/atom
* formation energy (no corrections): -0.465 eV per atom
* D(E_F): 8.1 states/eV per cell